The following is a DFT calculation (GGA-PBE) of an optimized crystal structure of TlCu2As2.

Computed properties:
As for the energy above the most stable polymorph in this dataset: 186 meV per atom. Its energy of formation is 0.214 eV per atom. The calculated volume is 92 Å³/f.u. The spin magnetization is 0.000 μB/cell. As for the final energy: -37.6 eV per cell.

abc: 7.940 7.940 2.920
angles: 90.00 90.00 90.00
Atoms (fractional coordinates):
As: 0.647 0.853 0.500
Tl: 0.500 0.500 0.000
Cu: 0.365 0.865 0.000
As: 0.853 0.353 0.500
Cu: 0.135 0.365 0.000
Tl: 0.000 0.000 0.000
Cu: 0.865 0.635 0.000
As: 0.353 0.147 0.500
As: 0.147 0.647 0.500
Cu: 0.635 0.135 0.000